Material: Ac8Sm2In
Method: DFT, PBE-GGA
State: relaxed

Formation energy from the elements, eV per atom: 0.014
E, eV per atom: -4.081

a b c (Å): 6.0790 8.1180 18.8951
angles (deg): 90.00 90.00 90.00
Space group Immm (No. 71)
Inequivalent atoms, fractional coordinates:
Ac  0.0000  0.0000  0.1834
Ac  0.0000  0.2320  0.3623
Ac  0.0000  0.2519  0.0000
Sm  0.0000  0.5000  0.1909
In  0.0000  0.5000  0.5000